(1)
A plane-wave DFT calculation with GGA-PBE was carried out for an optimized crystal structure of LiBeNF2.

CIF file:
```
data_LiBeNF2
_chemical_formula_sum 'Li1 Be1 N1 F2'
_space_group_name_H-M_alt 'P 1'
_space_group_IT_number 1
_cell_length_a 3.454
_cell_length_b 3.454
_cell_length_c 4.047
_cell_angle_alpha 90.00
_cell_angle_beta 90.00
_cell_angle_gamma 90.00
loop_
_space_group_symop_operation_xyz
'x,y,z'
loop_
_atom_site_label
_atom_site_fract_x
_atom_site_fract_y
_atom_site_fract_z
_atom_site_occupancy
Be1 0.500 0.500 0.500 1
N1 0.000 0.000 0.500 1
F1 0.000 0.500 0.000 1
F2 0.500 0.000 0.000 1
Li1 0.000 0.000 0.000 1
```

Calculated values
* distance to the lowest polymorph of the same formula: 5.030 eV/f.u.
* energy relative to the elements, uncorrected: -0.307 eV per atom
* SG: P4/mmm
* density of states at the Fermi level: 1.50 states/eV/f.u.
* electronic total energy: -0.2829 Ry/atom
* M_tot: 2.0 μB/f.u.



(2)
A plane-wave DFT calculation with GGA-PBE was carried out for an optimized crystal structure of LiBeNF4.

CIF file:
```
data_LiBeNF4
_chemical_formula_sum 'Li4 Be4 N4 F16'
_space_group_name_H-M_alt 'P 1'
_space_group_IT_number 1
_cell_length_a 5.430
_cell_length_b 8.622
_cell_length_c 8.792
_cell_angle_alpha 90.00
_cell_angle_beta 90.00
_cell_angle_gamma 90.00
loop_
_space_group_symop_operation_xyz
'x,y,z'
loop_
_atom_site_label
_atom_site_fract_x
_atom_site_fract_y
_atom_site_fract_z
_atom_site_occupancy
N1 0.969 0.503 0.830 1
N2 0.469 0.497 0.170 1
N3 0.969 0.003 0.670 1
N4 0.469 0.997 0.330 1
Li1 0.997 0.396 0.471 1
Li2 0.997 0.896 0.029 1
Li3 0.497 0.604 0.529 1
Li4 0.497 0.104 0.971 1
F1 0.227 0.810 0.900 1
F2 0.123 0.426 0.924 1
F3 0.548 0.695 0.722 1
F4 0.123 0.926 0.576 1
F5 0.727 0.690 0.400 1
F6 0.623 0.074 0.424 1
F7 0.165 0.606 0.438 1
F8 0.548 0.195 0.778 1
F9 0.665 0.394 0.562 1
F10 0.048 0.805 0.222 1
F11 0.165 0.106 0.062 1
F12 0.227 0.310 0.600 1
F13 0.727 0.190 0.100 1
F14 0.048 0.305 0.278 1
F15 0.665 0.894 0.938 1
F16 0.623 0.574 0.076 1
Be1 0.485 0.793 0.853 1
Be2 0.485 0.293 0.647 1
Be3 0.985 0.707 0.353 1
Be4 0.985 0.207 0.147 1
```

Calculated values
* energy relative to the elements, uncorrected: -1.856 eV per atom
* SG: Pna2_1
* density of states at the Fermi level: 0.00 states/eV/f.u.
* electronic total energy: -0.3617 Ry/atom
* M_tot: 2.0 μB/f.u.



(3)
A plane-wave DFT calculation with GGA-PBE was carried out for an optimized crystal structure of LiBeNF2.

CIF file:
```
data_LiBeNF2
_chemical_formula_sum 'Li1 Be1 N1 F2'
_space_group_name_H-M_alt 'P 1'
_space_group_IT_number 1
_cell_length_a 3.718
_cell_length_b 3.718
_cell_length_c 3.443
_cell_angle_alpha 90.00
_cell_angle_beta 90.00
_cell_angle_gamma 90.00
loop_
_space_group_symop_operation_xyz
'x,y,z'
loop_
_atom_site_label
_atom_site_fract_x
_atom_site_fract_y
_atom_site_fract_z
_atom_site_occupancy
Be1 0.000 0.000 0.000 1
N1 0.000 0.000 0.500 1
F1 0.000 0.500 0.000 1
F2 0.500 0.000 0.000 1
Li1 0.500 0.500 0.500 1
```

Calculated values
* distance to the lowest polymorph of the same formula: 0.000 eV/f.u.
* energy relative to the elements, uncorrected: -1.313 eV per atom
* SG: P4/mmm
* density of states at the Fermi level: 0.13 states/eV/f.u.
* electronic total energy: -0.3568 Ry/atom
* M_tot: 2.0 μB/f.u.



(4)
A plane-wave DFT calculation with GGA-PBE was carried out for an optimized crystal structure of NaLi2BeF6.

CIF file:
```
data_NaLi2BeF6
_chemical_formula_sum 'Na2 Li4 Be2 F12'
_space_group_name_H-M_alt 'P 1'
_space_group_IT_number 1
_cell_length_a 5.980
_cell_length_b 6.941
_cell_length_c 6.941
_cell_angle_alpha 91.97
_cell_angle_beta 71.45
_cell_angle_gamma 71.45
loop_
_space_group_symop_operation_xyz
'x,y,z'
loop_
_atom_site_label
_atom_site_fract_x
_atom_site_fract_y
_atom_site_fract_z
_atom_site_occupancy
F1 0.115 0.668 0.552 1
F2 0.496 0.162 0.674 1
F3 0.385 0.448 0.332 1
F4 0.615 0.552 0.668 1
F5 0.717 0.809 0.947 1
F6 0.885 0.332 0.448 1
F7 0.783 0.053 0.191 1
F8 0.283 0.191 0.053 1
F9 0.004 0.326 0.838 1
F10 0.996 0.674 0.162 1
F11 0.217 0.947 0.809 1
F12 0.504 0.838 0.326 1
Be1 0.750 0.838 0.162 1
Be2 0.250 0.162 0.838 1
Na1 0.750 0.130 0.870 1
Na2 0.250 0.870 0.130 1
Li1 0.885 0.572 0.750 1
Li2 0.385 0.750 0.572 1
Li3 0.615 0.250 0.428 1
Li4 0.115 0.428 0.250 1
```

Calculated values
* energy relative to the elements, uncorrected: -2.704 eV per atom
* SG: C2/c
* electronic total energy: -0.3465 Ry/atom
* M_tot: 1.1 μB/f.u.